Entry from the Alexandria database: a relaxed BiTeCl3 crystal (PBE).

Output
Crystal system ... cubic
Energy relative to the elements, uncorrected ... -0.244 eV/atom
Size of the total moment ... 0.415 μB/atom

The structure in CIF format:
```
data_BiTeCl3
_cell_length_a 5.5038
_cell_length_b 5.5038
_cell_length_c 5.5038
_cell_angle_alpha 90.00
_cell_angle_beta 90.00
_cell_angle_gamma 90.00
_symmetry_space_group_name_H-M 'P m -3 m'
_symmetry_Int_Tables_number 221
_symmetry_space_group_name_Hall '-P 4 2 3'
loop_
_atom_site_label
_atom_site_type_symbol
_atom_site_fract_x
_atom_site_fract_y
_atom_site_fract_z
Bi1 Bi 0.0000 0.0000 0.0000
Te1 Te 0.5000 0.5000 0.5000
Cl1 Cl 0.0000 0.0000 0.5000
```